# GGA+U Na2CoNiF7, optimized geometry
data_Na2CoNiF7
_chemical_formula_sum 'Na8 Co4 Ni4 F28'
_space_group_name_H-M_alt 'I m m a'
_space_group_IT_number 74
_space_group_name_Hall '-I 2b 2'
_cell_length_a 7.373
_cell_length_b 10.315
_cell_length_c 7.391
_cell_angle_alpha 90.00
_cell_angle_beta 90.00
_cell_angle_gamma 90.00
loop_
_atom_site_label
_atom_site_type_symbol
_atom_site_fract_x
_atom_site_fract_y
_atom_site_fract_z
Na1 Na 0.000 0.000 0.000
Na2 Na 0.250 0.250 0.250
Co1 Co 0.250 0.250 0.750
Ni1 Ni 0.000 0.000 0.500
F1 F 0.000 0.098 0.268
F2 F 0.000 0.250 0.839
F3 F 0.210 0.119 0.573
# * VASP energy: -4.46 eV per atom